Record 1
Nd2CuSn4Rh3: optimized geometry, PBE.

VASP energy = -57.95 eV for the cell shown
calculated formation energy = -0.625 eV/atom
calculated volume = 219.2 Å³/cell

Cell lengths 4.583, 4.583, 10.436 Å; angles 90.00, 90.00, 90.00 degrees
Element x y z (fractional)
1 Nd 0.000 0.500 0.245
2 Nd 0.500 0.000 0.755
3 Cu 0.500 0.500 0.000
4 Sn 0.000 0.000 0.500
5 Sn 0.000 0.500 0.875
6 Sn 0.500 0.000 0.125
7 Sn 0.500 0.500 0.500
8 Rh 0.000 0.000 0.000
9 Rh 0.000 0.500 0.629
10 Rh 0.500 0.000 0.371

Record 2
Nd2Cu3Sn4Rh: optimized geometry, PBE.

VASP energy = -49.88 eV for the cell shown
calculated formation energy = -0.469 eV/atom
calculated volume = 215.8 Å³/cell

Cell lengths 4.502, 4.502, 10.652 Å; angles 90.00, 90.00, 90.00 degrees
Element x y z (fractional)
1 Nd 0.000 0.500 0.239
2 Nd 0.500 0.000 0.761
3 Cu 0.000 0.000 0.000
4 Cu 0.000 0.500 0.634
5 Cu 0.500 0.000 0.366
6 Sn 0.000 0.000 0.500
7 Sn 0.000 0.500 0.872
8 Sn 0.500 0.000 0.128
9 Sn 0.500 0.500 0.500
10 Rh 0.500 0.500 0.000

Record 3
NdCuSnRh: optimized geometry, PBE.

VASP energy = -22.01 eV for the cell shown
calculated formation energy = -0.449 eV/atom
calculated volume = 79.0 Å³/cell

Cell lengths 4.816, 4.816, 4.816 Å; angles 60.00, 60.00, 60.00 degrees
Element x y z (fractional)
1 Nd 0.000 0.000 0.000
2 Cu 0.750 0.750 0.750
3 Sn 0.500 0.500 0.500
4 Rh 0.250 0.250 0.250

Record 4
NdTlCuRh: optimized geometry, PBE.

VASP energy = -19.42 eV for the cell shown
calculated formation energy = -0.210 eV/atom
calculated volume = 81.2 Å³/cell

Cell lengths 4.862, 4.862, 4.862 Å; angles 60.00, 60.00, 60.00 degrees
Element x y z (fractional)
1 Nd 0.000 0.000 0.000
2 Tl 0.500 0.500 0.500
3 Cu 0.750 0.750 0.750
4 Rh 0.250 0.250 0.250

- The highest calculated formation energy belongs to which entry?
  NdTlCuRh

- Which formula does entry 3 have?
  NdCuSnRh

- VASP energy of number 2 (Nd2Cu3Sn4Rh)?
  -49.88 eV for the cell shown

- What is the VASP energy in the third record?
  -22.01 eV for the cell shown